A relaxed PaFePd2 crystal. Source: the Alexandria database, functional GGA-PBE.

Output
The calculation puts the excess energy over the best structure of this formula in the dataset at 0.324 eV/atom. Its uncorrected energy is -7.247 eV/atom. As for the crystal system: cubic.

Geometry as POSCAR:
```
PaFePd2
1.0
6.6378 0.0000 0.0000
0.0000 6.6378 0.0000
0.0000 0.0000 6.6378
Pa Fe Pd
4 4 8
Cartesian
0.0000 0.0000 0.0000 Pa
0.0000 3.3189 3.3189 Pa
3.3189 0.0000 3.3189 Pa
3.3189 3.3189 0.0000 Pa
0.0000 0.0000 3.3189 Fe
0.0000 3.3189 0.0000 Fe
3.3189 0.0000 0.0000 Fe
3.3189 3.3189 3.3189 Fe
1.6595 1.6595 1.6595 Pd
1.6595 1.6595 4.9784 Pd
1.6595 4.9784 1.6595 Pd
1.6595 4.9784 4.9784 Pd
4.9784 1.6595 1.6595 Pd
4.9784 1.6595 4.9784 Pd
4.9784 4.9784 1.6595 Pd
4.9784 4.9784 4.9784 Pd
```